Density functional theory data (PBE) for a geometry-optimized CaLaAs2 structure.

The space group is C2/m (No. 12) and the conventional cell measures 7.6300, 4.4186 and 7.2410 Å, with angles of 90.00, 110.66 and 90.00 degrees. The asymmetric unit holds Ca at (0.0000, 0.0000, 0.0000), La at (0.0000, 0.5000, 0.5000) and As at (0.2499, 0.0000, 0.7495).

The energy of formation from the pure elements is -1.189 eV per atom. The final energy comes out at -41.97 eV per cell. For the density of states at the Fermi level, the calculation gives 1.1388 states/eV per atom. The polymorph energy (0 for the lowest one) comes out at 0.000 eV per atom. The size of the total moment is 0.0000 μB/atom.